1.
# Mo3AsC | the Open Quantum Materials Database | PBE | optimized geometry
# Crystal system: cubic
data_Mo3AsC
_cell_length_a 4.151
_cell_length_b 4.151
_cell_length_c 4.151
_cell_angle_alpha 90.00
_cell_angle_beta 90.00
_cell_angle_gamma 90.00
_symmetry_space_group_name_H-M 'P m -3 m'
_symmetry_Int_Tables_number 221
_symmetry_space_group_name_Hall '-P 4 2 3'
loop_
_atom_site_label
_atom_site_type_symbol
_atom_site_fract_x
_atom_site_fract_y
_atom_site_fract_z
_atom_site_occupancy
Mo1 Mo 0.000 0.000 0.500 1
As1 As 0.500 0.500 0.500 1
C1 C 0.000 0.000 0.000 1


2.
# Mo3AsCN | the Open Quantum Materials Database | PBE | optimized geometry
# Crystal system: trigonal
data_Mo3AsCN
_cell_length_a 3.1480
_cell_length_b 3.1480
_cell_length_c 17.3077
_cell_angle_alpha 90.00
_cell_angle_beta 90.00
_cell_angle_gamma 120.00
_symmetry_space_group_name_H-M 'P -3 m 1'
_symmetry_Int_Tables_number 164
_symmetry_space_group_name_Hall '-P 3 2"'
loop_
_atom_site_label
_atom_site_type_symbol
_atom_site_fract_x
_atom_site_fract_y
_atom_site_fract_z
_atom_site_occupancy
Mo1 Mo 0.0000 0.0000 0.0000 1
Mo2 Mo 0.0000 0.0000 0.5000 1
Mo3 Mo 0.3333 0.6667 0.1340 1
Mo4 Mo 0.3333 0.6667 0.3627 1
As1 As 0.0000 0.0000 0.2468 1
C1 C 0.3333 0.6667 0.5743 1
N1 N 0.3333 0.6667 0.9300 1


Number 1: total moment 0.002 μB/f.u., VASP energy -45.0 eV/cell. Number 2: total moment 0.007 μB/f.u., VASP energy -109.2 eV/cell.